Material: CrSnI2N
Method: DFT, PBE
State: optimized geometry

Unit cell a=6.112 b=3.882 c=6.112 alpha=90.00 beta=90.00 gamma=90.00
Each line ends with the local moment (μB).
Fractional coordinates of all 5 atoms:
N 0.000 0.500 0.000  0.01
I 0.000 0.000 0.500  -0.03
I 0.500 0.000 0.000  -0.01
Cr 0.500 0.500 0.500  4.30
Sn 0.000 0.000 0.000  0.01

As for the space-group type: P4/mmm, No. 123. The formation energy (no corrections) is 77 kJ/mol of atoms. As for the theoretical density: 5.0 g/cm3.



Material: Pr4DyHoTm2
Method: DFT, PBE
State: optimized geometry

Unit cell a=5.175 b=5.154 c=11.231 alpha=62.68 beta=90.00 gamma=90.00
Fractional coordinates of all 8 atoms:
Pr 0.000 0.250 0.250
Pr 0.000 0.750 0.750
Pr 0.500 0.251 0.749
Pr 0.500 0.749 0.251
Tm 0.500 0.000 0.500
Tm 0.000 0.000 0.000
Dy 0.500 0.500 0.000
Ho 0.000 0.500 0.500

Its formation energy is 18.2 meV per atom. As for the space-group type: Pmmm, No. 47. As for the theoretical density: 7.7 g/cm3.



Material: CaMnTc2
Method: DFT, PBE
State: optimized geometry

Unit cell a=5.418 b=5.418 c=5.418 alpha=146.07 beta=127.38 gamma=64.10
Each line ends with the local moment (μB).
Fractional coordinates of all 4 atoms:
Tc 0.011 0.011 0.000  -0.28
Tc 0.219 0.719 0.500  -0.42
Mn 0.775 0.275 0.500  3.35
Ca 0.495 0.495 0.000  -0.03

Its formation energy is 523.7 meV per atom. As for the space-group type: Imm2, No. 44. As for the theoretical density: 6.9 g/cm3.



Material: LuHf2Hg
Method: DFT, PBE
State: optimized geometry

Unit cell a=3.134 b=3.134 c=11.491 alpha=82.16 beta=82.16 gamma=60.00
Fractional coordinates of all 4 atoms:
Lu 0.000 0.000 0.000
Hf 0.092 0.092 0.723
Hf 0.908 0.908 0.277
Hg 0.500 0.500 0.500

Its formation energy is 331.6 meV per atom. As for the space-group type: R-3m, No. 166. As for the theoretical density: 12.6 g/cm3.



Material: CaBrCl2
Method: DFT, PBE
State: optimized geometry

Unit cell a=8.405 b=6.183 c=6.132 alpha=141.25 beta=133.69 gamma=68.70
Each line ends with the local moment (μB).
Fractional coordinates of all 4 atoms:
Cl 0.414 0.478 0.093  -0.19
Cl 0.086 0.022 0.907  -0.19
Ca 0.250 0.750 0.500  0.00
Br 0.750 0.250 0.500  -0.43

As for the space-group type: P-1, No. 2. The formation energy (no corrections) is -145 kJ/mol of atoms. As for the theoretical density: 2.4 g/cm3.



Material: Pr2DyIr9
Method: DFT, PBE
State: optimized geometry

Unit cell a=5.356 b=5.356 c=9.425 alpha=73.49 beta=73.49 gamma=60.00
Fractional coordinates of all 12 atoms:
Ir 0.578 0.084 0.760
Ir 0.422 0.916 0.240
Ir 0.332 0.332 0.004
Ir 0.578 0.578 0.760
Ir 0.916 0.422 0.240
Ir 0.084 0.578 0.760
Ir 0.500 0.500 0.500
Ir 0.668 0.668 0.996
Ir 0.422 0.422 0.240
Pr 0.139 0.139 0.582
Pr 0.861 0.861 0.418
Dy 0.000 0.000 0.000

Its formation energy is -502.0 meV per atom. As for the space-group type: R-3m, No. 166. As for the theoretical density: 16.3 g/cm3.



Material: KTb2Nd3Te6
Method: DFT, PBE
State: optimized geometry

Unit cell a=4.462 b=9.115 c=10.084 alpha=103.20 beta=102.78 gamma=90.00
Fractional coordinates of all 12 atoms:
Nd 0.159 0.818 0.317
Nd 0.500 0.500 0.000
Nd 0.841 0.182 0.683
Tb 0.167 0.340 0.334
Tb 0.833 0.660 0.666
Te 0.326 0.908 0.652
Te 0.006 0.260 0.013
Te 0.994 0.740 0.987
Te 0.669 0.577 0.338
Te 0.331 0.423 0.662
Te 0.674 0.092 0.348
K 0.500 0.000 0.000

As for the space-group type: C2/m, No. 12. The formation energy (no corrections) is -131 kJ/mol of atoms. As for the theoretical density: 6.6 g/cm3.



Material: LaCrH2Pt
Method: DFT, PBE
State: optimized geometry

Unit cell a=4.047 b=6.205 c=4.047 alpha=90.00 beta=90.00 gamma=90.00
Each line ends with the local moment (μB).
Fractional coordinates of all 5 atoms:
La 0.000 0.000 0.000  0.10
Cr 0.000 0.500 0.000  3.83
Pt 0.500 0.500 0.500  0.07
H 0.500 0.000 0.000  0.00
H 0.000 0.000 0.500  0.00

As for the space-group type: P4/mmm, No. 123. As for the theoretical density: 6.3 g/cm3. The value obtained for the energy is -4.9257 eV/atom.



Material: CaSmAu
Method: DFT, PBE
State: optimized geometry

Unit cell a=4.242 b=4.921 c=4.921 alpha=120.00 beta=90.00 gamma=90.00
Fractional coordinates of all 3 atoms:
Au 0.309 0.333 0.667
Sm 0.088 0.000 0.000
Ca 0.603 0.667 0.333

Its formation energy is -343.7 meV per atom. As for the space-group type: P3m1, No. 156. As for the theoretical density: 7.2 g/cm3.



Material: SmLuSnPt
Method: DFT, PBE
State: optimized geometry

Unit cell a=5.156 b=5.156 c=5.156 alpha=60.00 beta=60.00 gamma=60.00
Fractional coordinates of all 4 atoms:
Sm 0.500 0.500 0.500
Sn 0.250 0.250 0.250
Lu 0.000 0.000 0.000
Pt 0.750 0.750 0.750

Its formation energy is -823.2 meV per atom. As for the space-group type: F-43m, No. 216. As for the theoretical density: 11.0 g/cm3.



Material: ZnInPb2
Method: DFT, PBE
State: optimized geometry

Unit cell a=11.350 b=11.350 c=11.350 alpha=16.98 beta=16.98 gamma=16.98
Fractional coordinates of all 4 atoms:
In 0.761 0.761 0.761
Pb 0.238 0.238 0.238
Pb 0.006 0.006 0.006
Zn 0.495 0.495 0.495

Its formation energy is 80.5 meV per atom. As for the space-group type: R3m, No. 160. As for the theoretical density: 9.1 g/cm3.



Material: Cs2NaMg2Tl5
Method: DFT, PBE
State: optimized geometry

Unit cell a=3.856 b=13.298 c=13.298 alpha=90.00 beta=90.00 gamma=90.00
Fractional coordinates of all 20 atoms:
Tl 0.500 0.804 0.943
Tl 0.500 0.443 0.304
Tl 0.500 0.000 0.500
Tl 0.500 0.057 0.804
Tl 0.500 0.557 0.696
Tl 0.500 0.304 0.557
Tl 0.500 0.696 0.443
Tl 0.500 0.500 0.000
Tl 0.500 0.196 0.057
Tl 0.500 0.943 0.196
Cs 0.000 0.678 0.178
Cs 0.000 0.822 0.678
Cs 0.000 0.178 0.322
Cs 0.000 0.322 0.822
Na 0.000 0.000 0.000
Na 0.000 0.500 0.500
Mg 0.000 0.376 0.124
Mg 0.000 0.624 0.876
Mg 0.000 0.124 0.624
Mg 0.000 0.876 0.376

Its formation energy is -4.6 meV per atom. As for the space-group type: P4/mbm, No. 127. As for the theoretical density: 6.6 g/cm3.



Material: Tb2DyEr
Method: DFT, PBE
State: optimized geometry

Unit cell a=6.521 b=13.036 c=7.014 alpha=90.00 beta=57.50 gamma=90.00
Fractional coordinates of all 16 atoms:
Dy 0.063 0.675 0.125
Dy 0.062 0.175 0.375
Dy 0.563 0.825 0.625
Dy 0.562 0.325 0.875
Tb 0.562 0.064 0.375
Tb 0.063 0.436 0.375
Tb 0.562 0.565 0.125
Tb 0.563 0.064 0.875
Tb 0.062 0.935 0.625
Tb 0.062 0.436 0.875
Tb 0.563 0.564 0.624
Tb 0.063 0.936 0.124
Er 0.063 0.675 0.625
Er 0.562 0.325 0.375
Er 0.563 0.825 0.125
Er 0.062 0.175 0.875

Its formation energy is 46.2 meV per atom. As for the space-group type: P2_1/c, No. 14. As for the theoretical density: 8.6 g/cm3.



Material: TiAlIn3
Method: DFT, PBE
State: optimized geometry

Unit cell a=5.383 b=5.383 c=5.383 alpha=90.00 beta=90.00 gamma=90.00
Each line ends with the local moment (μB).
Fractional coordinates of all 5 atoms:
Ti 0.000 0.000 0.000  1.06
In 0.000 0.500 0.000  0.09
In 0.000 0.000 0.500  0.06
In 0.500 0.000 0.000  0.07
Al 0.500 0.500 0.500  0.00

Its formation energy is 629.4 meV per atom. As for the space-group type: Pm-3m, No. 221. As for the theoretical density: 4.5 g/cm3.



Material: NbVCd
Method: DFT, PBE
State: optimized geometry

Unit cell a=2.835 b=5.477 c=7.180 alpha=78.71 beta=80.53 gamma=76.69
Fractional coordinates of all 6 atoms:
V 0.932 0.415 0.367
V 0.068 0.585 0.633
Cd 0.817 0.261 0.010
Cd 0.183 0.739 0.990
Nb 0.415 0.902 0.340
Nb 0.585 0.098 0.660

Its formation energy is 149.3 meV per atom. As for the space-group type: P-1, No. 2. As for the theoretical density: 8.1 g/cm3.



Material: MgTiAs2Br
Method: DFT, PBE
State: optimized geometry

Unit cell a=4.929 b=4.929 c=5.194 alpha=90.00 beta=90.00 gamma=90.00
Each line ends with the local moment (μB).
Fractional coordinates of all 5 atoms:
As 0.500 0.000 0.000  -0.12
As 0.000 0.500 0.000  -0.12
Ti 0.500 0.500 0.500  1.68
Br 0.000 0.000 0.500  -0.07
Mg 0.000 0.000 0.000  0.01

As for the space-group type: P4/mmm, No. 123. The formation energy (no corrections) is 43 kJ/mol of atoms. As for the theoretical density: 4.0 g/cm3.



Material: Th2GePd6
Method: DFT, PBE
State: optimized geometry

Unit cell a=5.881 b=5.801 c=5.801 alpha=60.01 beta=90.04 gamma=90.04
Fractional coordinates of all 9 atoms:
Pd 0.689 0.174 0.652
Pd 0.689 0.652 0.174
Pd 0.311 0.348 0.826
Pd 0.311 0.826 0.826
Pd 0.689 0.174 0.174
Pd 0.311 0.826 0.348
Th 0.815 0.667 0.667
Th 0.185 0.333 0.333
Ge 0.000 0.000 0.000

Its formation energy is -812.8 meV per atom. As for the space-group type: P-3m1, No. 164. As for the theoretical density: 11.4 g/cm3.



Material: NdEr2Cd3
Method: DFT, PBE
State: optimized geometry

Unit cell a=3.748 b=3.748 c=11.372 alpha=90.00 beta=90.00 gamma=90.00
Each line ends with the local moment (μB).
Fractional coordinates of all 6 atoms:
Er 0.500 0.500 0.838  0.07
Er 0.500 0.500 0.162  0.07
Cd 0.000 0.000 0.319  0.01
Cd 0.000 0.000 0.000  0.01
Cd 0.000 0.000 0.681  0.01
Nd 0.500 0.500 0.500  0.19

Its formation energy is -312.5 meV per atom. As for the space-group type: P4/mmm, No. 123. As for the theoretical density: 8.5 g/cm3.



Material: NdHo2In4
Method: DFT, PBE
State: optimized geometry

Unit cell a=4.697 b=4.697 c=9.869 alpha=103.77 beta=103.77 gamma=90.00
Each line ends with the local moment (μB).
Fractional coordinates of all 7 atoms:
Nd 0.000 0.000 0.000  -0.01
In 0.625 0.125 0.250  0.00
In 0.375 0.875 0.750  0.00
In 0.125 0.625 0.250  0.00
In 0.875 0.375 0.750  0.00
Ho 0.751 0.751 0.503  0.15
Ho 0.249 0.249 0.497  0.15

Its formation energy is -280.5 meV per atom. As for the space-group type: I4/mmm, No. 139. As for the theoretical density: 7.6 g/cm3.